1.
Material: YNbSi2B
Method: DFT, PBE
State: optimized geometry

a b c (Å): 5.198 5.065 5.198
angles (deg): 90.00 90.00 90.00
Fractional positions:
Si (0.500, 0.000, 0.000)
Y (0.000, 0.000, 0.000)
Si (0.000, 0.000, 0.500)
Nb (0.000, 0.500, 0.000)
B (0.500, 0.500, 0.500)

Values from the calculation:
ρ, g/cm3: 3.018
Uncorrected energy, eV per atom: -4.387
Fermi-level density of states, states/eV/atom: 1.4573
Formation energy without anion corrections, eV per atom: 2.42

2.
Material: RbTiV2Sb
Method: DFT, PBE
State: optimized geometry

a b c (Å): 4.987 5.325 4.987
angles (deg): 90.00 90.00 90.00
Each line ends with the local moment (μB).
Fractional positions:
Rb (0.500, 0.500, 0.500)  0.03
Sb (0.000, 0.500, 0.000)  -0.07
Ti (0.000, 0.000, 0.000)  -0.21
V (0.500, 0.000, 0.000)  2.50
V (0.000, 0.000, 0.500)  2.08

Values from the calculation:
ρ, g/cm3: 4.475
Uncorrected energy, eV per atom: -5.284
Fermi-level density of states, states/eV/atom: 1.5066
Formation energy without anion corrections, eV per atom: 0.96

3.
Material: La2ZrAs4Rh3
Method: DFT, PBE
State: optimized geometry

a b c (Å): 4.357 4.357 10.578
angles (deg): 90.00 90.00 90.00
Fractional positions:
As (0.500, 0.000, 0.650)
Rh (0.000, 0.000, 0.500)
Rh (0.000, 0.500, 0.112)
As (0.000, 0.000, 0.000)
La (0.000, 0.500, 0.772)
La (0.500, 0.000, 0.228)
As (0.000, 0.500, 0.350)
Rh (0.500, 0.000, 0.888)
As (0.500, 0.500, 0.000)
Zr (0.500, 0.500, 0.500)

Values from the calculation:
ρ, g/cm3: 8.084
E_form, eV per atom: -1.02
Uncorrected energy, eV per atom: -6.927
Fermi-level density of states, states/eV/atom: 0.4346

4.
Material: Er5SbRu2
Method: DFT, PBE
State: optimized geometry

a b c (Å): 7.661 7.661 8.618
angles (deg): 116.39 116.39 90.00
Fractional positions:
Er (0.022, 0.522, 0.732)
Er (0.790, 0.978, 0.268)
Er (0.210, 0.022, 0.732)
Sb (0.750, 0.750, 0.500)
Ru (0.360, 0.860, 0.000)
Ru (0.640, 0.140, 0.000)
Ru (0.140, 0.360, 0.000)
Sb (0.250, 0.250, 0.500)
Er (0.500, 0.500, 0.000)
Ru (0.860, 0.640, 0.000)
Er (0.478, 0.290, 0.268)
Er (0.290, 0.790, 0.268)
Er (0.522, 0.710, 0.732)
Er (0.000, 0.000, 0.000)
Er (0.978, 0.478, 0.268)
Er (0.710, 0.210, 0.732)

Values from the calculation:
ρ, g/cm3: 9.795
Uncorrected energy, eV per atom: -6.260
Fermi-level density of states, states/eV/atom: 0.7974
Formation energy without anion corrections, eV per atom: -0.57

5.
Material: MgBN2F
Method: DFT, PBE
State: optimized geometry

a b c (Å): 4.264 4.264 3.769
angles (deg): 90.00 90.00 90.00
Each line ends with the local moment (μB).
Fractional positions:
N (0.000, 0.500, 0.000)  1.30
B (0.500, 0.500, 0.500)  0.05
Mg (0.000, 0.000, 0.000)  0.00
F (0.000, 0.000, 0.500)  0.11
N (0.500, 0.000, 0.000)  1.30

Values from the calculation:
ρ, g/cm3: 1.991
Uncorrected energy, eV per atom: -4.000
Fermi-level density of states, states/eV/atom: 0.2861
Formation energy without anion corrections, eV per atom: 1.36

6.
Material: TlInAg2Se4
Method: DFT, PBE
State: optimized geometry

a b c (Å): 6.211 6.211 7.543
angles (deg): 114.31 114.31 90.00
Fractional positions:
Ag (0.486, 0.986, 0.972)
Ag (0.236, 0.236, 0.472)
In (0.736, 0.736, 0.472)
Tl (0.986, 0.486, 0.972)
Se (0.857, 0.361, 0.228)
Se (0.605, 0.614, 0.716)
Se (0.370, 0.867, 0.228)
Se (0.111, 0.102, 0.716)

Values from the calculation:
ρ, g/cm3: 5.972
Uncorrected energy, eV per atom: -3.403
Fermi-level density of states, states/eV/atom: 0.1323
Formation energy without anion corrections, eV per atom: -0.31

7.
Material: Ga4Bi2O9
Method: DFT, PBE
State: optimized geometry

a b c (Å): 6.003 8.030 8.467
angles (deg): 90.00 90.00 90.00
Fractional positions:
Ga (0.500, 0.352, 0.162)
O (0.500, 0.500, 0.000)
O (0.757, 0.875, 0.210)
O (0.500, 0.866, 0.910)
O (0.243, 0.125, 0.790)
Bi (0.000, 0.177, 0.325)
O (0.500, 0.634, 0.410)
Ga (0.741, 0.500, 0.500)
Ga (0.259, 0.000, 0.000)
Ga (0.500, 0.148, 0.662)
O (0.243, 0.875, 0.210)
O (0.000, 0.150, 0.063)
O (0.000, 0.350, 0.563)
Ga (0.500, 0.648, 0.838)
O (0.000, 0.650, 0.437)
Bi (0.000, 0.677, 0.175)
O (0.243, 0.625, 0.710)
Ga (0.500, 0.852, 0.338)
Ga (0.259, 0.500, 0.500)
O (0.757, 0.375, 0.290)
O (0.243, 0.375, 0.290)
Ga (0.741, 0.000, 0.000)
O (0.500, 0.000, 0.500)
Bi (0.000, 0.823, 0.675)
O (0.757, 0.625, 0.710)
O (0.500, 0.134, 0.090)
O (0.500, 0.366, 0.590)
Bi (0.000, 0.323, 0.825)
O (0.000, 0.850, 0.937)
O (0.757, 0.125, 0.790)

Values from the calculation:
ρ, g/cm3: 6.842
Uncorrected energy, eV per atom: -5.954
Fermi-level density of states, states/eV/atom: 0.0000
Formation energy without anion corrections, eV per atom: -1.65

8.
Material: LiGe2Ir
Method: DFT, PBE
State: optimized geometry

a b c (Å): 4.082 4.082 5.196
angles (deg): 66.87 66.87 60.00
Fractional positions:
Ge (0.267, 0.267, 0.199)
Li (0.485, 0.485, 0.545)
Ir (0.677, 0.677, 0.968)
Ge (0.071, 0.071, 0.788)

Values from the calculation:
ρ, g/cm3: 8.559
E_form, eV per atom: -0.34
Uncorrected energy, eV per atom: -5.345
Fermi-level density of states, states/eV/atom: 0.3535

9.
Material: EuYNiIr
Method: DFT, PBE
State: optimized geometry

a b c (Å): 4.886 4.886 4.886
angles (deg): 60.00 60.00 60.00
Each line ends with the local moment (μB).
Fractional positions:
Ir (0.500, 0.500, 0.500)  -0.10
Y (0.750, 0.750, 0.750)  0.04
Ni (0.000, 0.000, 0.000)  -0.12
Eu (0.250, 0.250, 0.250)  6.68

Values from the calculation:
ρ, g/cm3: 9.904
E_form, eV per atom: -0.37
Uncorrected energy, eV per atom: -8.216
Fermi-level density of states, states/eV/atom: 3.0828

10.
Material: Tb3Ho4Rh4
Method: DFT, PBE
State: optimized geometry

a b c (Å): 3.752 8.834 9.250
angles (deg): 118.52 101.70 90.00
Fractional positions:
Tb (0.000, 0.500, 0.000)
Ho (0.335, 0.522, 0.669)
Rh (0.500, 0.212, 0.000)
Rh (0.249, 0.749, 0.498)
Ho (0.335, 0.147, 0.669)
Tb (0.103, 0.103, 0.206)
Ho (0.665, 0.853, 0.331)
Tb (0.897, 0.897, 0.794)
Rh (0.500, 0.788, 0.000)
Ho (0.665, 0.478, 0.331)
Rh (0.751, 0.251, 0.502)

Values from the calculation:
ρ, g/cm3: 9.807
E_form, eV per atom: -0.65
Uncorrected energy, eV per atom: -6.247
Fermi-level density of states, states/eV/atom: 0.6797

11.
Material: HfSc2NbGa
Method: DFT, PBE
State: optimized geometry

a b c (Å): 5.199 4.910 5.199
angles (deg): 90.00 90.00 90.00
Each line ends with the local moment (μB).
Fractional positions:
Sc (0.500, 0.000, 0.000)  0.06
Ga (0.500, 0.500, 0.500)  -0.01
Hf (0.000, 0.000, 0.000)  0.07
Nb (0.000, 0.500, 0.000)  0.66
Sc (0.000, 0.000, 0.500)  0.04

Values from the calculation:
ρ, g/cm3: 5.394
E_form, eV per atom: 1.08
Uncorrected energy, eV per atom: -6.064
Fermi-level density of states, states/eV/atom: 1.3178

12.
Material: Ti3CoRe
Method: DFT, PBE
State: optimized geometry

a b c (Å): 4.709 4.709 4.709
angles (deg): 90.00 90.00 90.00
Each line ends with the local moment (μB).
Fractional positions:
Co (0.500, 0.500, 0.500)  1.87
Ti (0.500, 0.000, 0.000)  -0.26
Ti (0.000, 0.500, 0.000)  -0.17
Ti (0.000, 0.000, 0.500)  -0.11
Re (0.000, 0.000, 0.000)  0.09

Values from the calculation:
ρ, g/cm3: 6.182
E_form, eV per atom: 0.99
Uncorrected energy, eV per atom: -7.653
Fermi-level density of states, states/eV/atom: 1.8041

13.
Material: I
Method: DFT, PBE
State: optimized geometry

a b c (Å): 6.143 5.666 2.947
angles (deg): 90.00 90.00 90.00
Fractional positions:
I (0.500, 0.000, 0.000)
I (0.000, 0.500, 0.000)

Values from the calculation:
ρ, g/cm3: 4.109
Uncorrected energy, eV per atom: -1.463
Fermi-level density of states, states/eV/atom: 0.8016
Formation energy without anion corrections, eV per atom: 0.09

14.
Material: Pr6TmMg
Method: DFT, PBE
State: optimized geometry

a b c (Å): 5.116 5.116 10.278
angles (deg): 90.00 90.00 90.00
Fractional positions:
Pr (0.500, 0.500, 0.500)
Mg (0.000, 0.000, 0.000)
Pr (0.000, 0.500, 0.752)
Tm (0.000, 0.000, 0.500)
Pr (0.000, 0.500, 0.248)
Pr (0.500, 0.500, 0.000)
Pr (0.500, 0.000, 0.248)
Pr (0.500, 0.000, 0.752)

Values from the calculation:
ρ, g/cm3: 6.412
E_form, eV per atom: 0.00
Uncorrected energy, eV per atom: -4.346
Fermi-level density of states, states/eV/atom: 1.1651

15.
Material: Tm8RuPt2
Method: DFT, PBE
State: optimized geometry

a b c (Å): 5.765 7.535 7.535
angles (deg): 113.15 100.44 100.44
Fractional positions:
Pt (0.492, 0.695, 0.317)
Tm (0.169, 0.359, 0.359)
Ru (0.127, 0.002, 0.002)
Tm (0.990, 0.214, 0.787)
Tm (0.579, 0.333, 0.082)
Tm (0.384, 0.673, 0.925)
Tm (0.813, 0.648, 0.648)
Tm (0.579, 0.082, 0.333)
Pt (0.492, 0.317, 0.695)
Tm (0.990, 0.787, 0.214)
Tm (0.384, 0.925, 0.673)

Values from the calculation:
ρ, g/cm3: 10.765
E_form, eV per atom: -0.54
Uncorrected energy, eV per atom: -5.734
Fermi-level density of states, states/eV/atom: 0.9317

16.
Material: Ba2BiPtN
Method: DFT, PBE
State: optimized geometry

a b c (Å): 6.194 6.194 3.814
angles (deg): 90.00 90.00 90.00
Fractional positions:
Ba (0.000, 0.500, 0.000)
Bi (0.500, 0.500, 0.500)
N (0.000, 0.000, 0.000)
Ba (0.500, 0.000, 0.000)
Pt (0.000, 0.000, 0.500)

Values from the calculation:
ρ, g/cm3: 7.862
Uncorrected energy, eV per atom: -5.103
Fermi-level density of states, states/eV/atom: 0.4011
Formation energy without anion corrections, eV per atom: -0.68

17.
Material: KBaRu
Method: DFT, PBE
State: optimized geometry

a b c (Å): 5.412 5.412 5.412
angles (deg): 60.00 60.00 60.00
Each line ends with the local moment (μB).
Fractional positions:
Ru (0.750, 0.750, 0.750)  1.15
K (0.500, 0.500, 0.500)  -0.01
Ba (0.000, 0.000, 0.000)  -0.05

Values from the calculation:
ρ, g/cm3: 4.111
E_form, eV per atom: 0.99
Uncorrected energy, eV per atom: -3.111
Fermi-level density of states, states/eV/atom: 2.6766

18.
Material: InPbBr2
Method: DFT, PBE
State: optimized geometry

a b c (Å): 4.333 3.712 8.293
angles (deg): 90.02 90.00 90.00
Fractional positions:
Pb (0.500, 0.750, 0.750)
Br (0.000, 0.750, 0.483)
Br (0.000, 0.750, 0.017)
In (0.500, 0.250, 0.250)

Values from the calculation:
ρ, g/cm3: 5.999
Uncorrected energy, eV per atom: -2.988
Fermi-level density of states, states/eV/atom: 0.1273
Formation energy without anion corrections, eV per atom: -0.54

19.
Material: Nd6Dy3In
Method: DFT, PBE
State: optimized geometry

a b c (Å): 3.625 12.473 14.881
angles (deg): 93.99 90.00 90.00
Fractional positions:
In (0.250, 0.307, 0.943)
Dy (0.750, 0.947, 0.197)
Dy (0.750, 0.900, 0.419)
Nd (0.750, 0.440, 0.107)
Nd (0.250, 0.381, 0.546)
Dy (0.250, 0.053, 0.803)
Dy (0.250, 0.100, 0.581)
Nd (0.750, 0.619, 0.454)
Nd (0.750, 0.111, 0.003)
Nd (0.250, 0.206, 0.185)
Dy (0.250, 0.427, 0.318)
Nd (0.750, 0.794, 0.815)
Nd (0.750, 0.190, 0.391)
In (0.750, 0.693, 0.057)
Nd (0.250, 0.810, 0.609)
Nd (0.250, 0.560, 0.893)
Nd (0.250, 0.889, 0.997)
Dy (0.750, 0.573, 0.682)
Nd (0.750, 0.300, 0.750)
Nd (0.250, 0.700, 0.250)

Values from the calculation:
ρ, g/cm3: 7.261
E_form, eV per atom: 0.00
Uncorrected energy, eV per atom: -4.513
Fermi-level density of states, states/eV/atom: 1.3713

20.
Material: YLuSnRh
Method: DFT, PBE
State: optimized geometry

a b c (Å): 5.053 5.053 5.053
angles (deg): 60.00 60.00 60.00
Fractional positions:
Lu (0.250, 0.250, 0.250)
Y (0.750, 0.750, 0.750)
Rh (0.500, 0.500, 0.500)
Sn (0.000, 0.000, 0.000)

Values from the calculation:
ρ, g/cm3: 8.835
E_form, eV per atom: -0.67
Uncorrected energy, eV per atom: -6.258
Fermi-level density of states, states/eV/atom: 0.5650